First-principles (GGA+U) data for a geometry-optimized PrNiTe2O8 structure, as listed in the Alexandria database.

Cell lengths 6.2125, 6.2125, 6.2125 Å; angles 107.87, 107.87, 112.72 degrees
Fractional positions:
Pr (0.0000, 0.0000, 0.0000)
Ni (0.2500, 0.7500, 0.5000)
Te (0.5000, 0.5000, 0.0000)
Te (0.7500, 0.2500, 0.5000)
O (0.3114, 0.1133, 0.8019)
O (0.3114, 0.5096, 0.1981)
O (0.3848, 0.0688, 0.3161)
O (0.4904, 0.6886, 0.8019)
O (0.7527, 0.0688, 0.6839)
O (0.8867, 0.6886, 0.1981)
O (0.9312, 0.2473, 0.3161)
O (0.9312, 0.6152, 0.6839)

## Properties
As for the total energy: -68.39 eV for the cell shown. The calculation puts the density of states at the Fermi level at 2.304 states/eV per cell. As for the space group: I-4m2, No. 119.